Compound: LiUCoN3
Source: Alexandria
Functional: PBE-GGA
Structure: optimized geometry

Properties
**Total magnetic moment**: 2.0 μB per cell
**Volume**: 167.41 Å³ per cell
**Density of states at the Fermi level**: 0.315 states/eV/atom
**ΔE_f (raw)**: -673 meV/atom

Lattice parameters (Å, degrees): 6.2720 3.4309 7.8249 90.00 96.15 90.00
Last column: nearest neighbours and their distance in Å.
Space group P2_1/m (No. 11)
Asymmetric unit:
Li 0.1421 0.2500 0.1247 [2 per cell]  1 N 2.13
U 0.3461 0.7500 0.8325 [2 per cell]  6 N 2.20-2.26
Co 0.0471 0.2500 0.6069 [2 per cell]  4 N 1.85-1.93
N 0.1306 0.2500 0.8516 [2 per cell]  1 Co 1.93, 1 Li 2.13
N 0.1648 0.7500 0.5764 [2 per cell]  3 Co 1.85-1.89
N 0.4249 0.7500 0.1213 [2 per cell]  3 U 2.24-2.26, 2 Li 2.47



Compound: LiCoWN3
Source: Alexandria
Functional: PBE-GGA
Structure: optimized geometry

Properties
**Total magnetic moment**: 0.0 μB per cell
**Volume**: 144.35 Å³ per cell
**Density of states at the Fermi level**: 0.486 states/eV/atom
**ΔE_f (raw)**: -197 meV/atom

Lattice parameters (Å, degrees): 5.9629 3.0068 8.5403 90.00 109.49 90.00
Last column: nearest neighbours and their distance in Å.
Space group P2_1/m (No. 11)
Asymmetric unit:
Li 0.0541 0.2500 0.3646 [2 per cell]  5 N 2.17-2.34
Co 0.4206 0.2500 0.8878 [2 per cell]  4 N 1.86-1.95
W 0.4520 0.7500 0.6476 [2 per cell]  6 N 2.05-2.09
N 0.2209 0.2500 0.6540 [2 per cell]  1 Co 1.95, 2 W 2.05
N 0.3267 0.7500 0.3876 [2 per cell]  3 W 2.09, 2 Li 2.17
N 0.3824 0.2500 0.0956 [2 per cell]  3 Co 1.86-1.88, 1 W 2.08



Compound: LiZnCo2N
Source: Alexandria
Functional: PBE-GGA
Structure: optimized geometry

Properties
**Total magnetic moment**: 0.9 μB per cell
**Volume**: 52.83 Å³ per cell
**Density of states at the Fermi level**: 0.577 states/eV/atom
**ΔE_f (raw)**: -204 meV/atom

Lattice parameters (Å, degrees): 3.6734 3.6734 3.9153 90.00 90.00 90.00
Last column: nearest neighbours and their distance in Å.
Space group P4/mmm (No. 123)
Asymmetric unit:
Li 0.0000 0.0000 0.0000 [1 per cell]  2 N 1.96
Zn 0.5000 0.5000 0.0000 [1 per cell]  4 Li 2.60, 8 Co 2.68
Co 0.0000 0.5000 0.5000 [2 per cell]  2 N 1.84
N 0.0000 0.0000 0.5000 [1 per cell]  4 Co 1.84, 2 Li 1.96



Compound: LiZr2CoN
Source: Alexandria
Functional: PBE-GGA
Structure: optimized geometry

Properties
**Total magnetic moment**: 0.0 μB per cell
**Volume**: 72.34 Å³ per cell
**Density of states at the Fermi level**: 0.683 states/eV/atom
**ΔE_f (raw)**: -589 meV/atom

Lattice parameters (Å, degrees): 4.4530 4.4530 3.6484 90.00 90.00 90.00
Last column: nearest neighbours and their distance in Å.
Space group P4/mmm (No. 123)
Asymmetric unit:
Li 0.0000 0.0000 0.0000 [1 per cell]  2 N 1.82
Zr 0.0000 0.5000 0.5000 [2 per cell]  2 N 2.23
Co 0.5000 0.5000 0.0000 [1 per cell]  8 Zr 2.88, 4 Li 3.15
N 0.0000 0.0000 0.5000 [1 per cell]  2 Li 1.82



Compound: NaLi3Co
Source: Alexandria
Functional: PBE-GGA
Structure: optimized geometry

Properties
**Total magnetic moment**: 1.1 μB per cell
**Formation enthalpy at 0 K**: 0.48 eV per atom
**Volume**: 111.26 Å³ per cell
**Density of states at the Fermi level**: 1.468 states/eV/atom
**Energy relative to the lowest polymorph listed for this composition**: 0.0000 eV per atom

Lattice parameters (Å, degrees): 4.8097 4.8097 4.8097 90.00 90.00 90.00
Last column: nearest neighbours and their distance in Å.
Space group Pm-3m (No. 221)
Asymmetric unit:
Na 0.0000 0.0000 0.0000 [1 per cell]  12 Li 3.40
Li 0.0000 0.5000 0.5000 [3 per cell]  2 Co 2.40
Co 0.5000 0.5000 0.5000 [1 per cell]  6 Li 2.40



Compound: Na2Li2Co
Source: Alexandria
Functional: PBE-GGA
Structure: optimized geometry

Properties
**Total magnetic moment**: 2.7 μB per cell
**Formation enthalpy at 0 K**: 0.46 eV per atom
**Volume**: 223.27 Å³ per cell
**Density of states at the Fermi level**: 0.587 states/eV/atom
**Energy relative to the lowest polymorph listed for this composition**: 0.0000 eV per atom

Lattice parameters (Å, degrees): 6.6325 6.6325 5.0754 90.00 90.00 90.00
Last column: nearest neighbours and their distance in Å.
Space group P4/mbm (No. 127)
Asymmetric unit:
Na 0.1865 0.3135 0.0000 [4 per cell]  2 Li 2.98
Li 0.1464 0.6464 0.5000 [4 per cell]  2 Co 2.54, 1 Li 2.75
Co 0.0000 0.0000 0.5000 [2 per cell]  4 Li 2.54



Compound: Na3LiCo
Source: Alexandria
Functional: PBE-GGA
Structure: optimized geometry

Properties
**Total magnetic moment**: 2.1 μB per cell
**Formation enthalpy at 0 K**: 0.91 eV per atom
**Volume**: 157.77 Å³ per cell
**Density of states at the Fermi level**: 0.773 states/eV/atom
**Energy relative to the lowest polymorph listed for this composition**: 0.1276 eV per atom

Lattice parameters (Å, degrees): 5.4035 5.4035 5.4035 90.00 90.00 90.00
Last column: nearest neighbours and their distance in Å.
Space group Pm-3m (No. 221)
Asymmetric unit:
Na 0.0000 0.0000 0.5000 [3 per cell]  2 Li 2.70
Li 0.0000 0.0000 0.0000 [1 per cell]  6 Na 2.70
Co 0.5000 0.5000 0.5000 [1 per cell]  12 Na 3.82



Compound: NaLiCo2
Source: Alexandria
Functional: PBE-GGA
Structure: optimized geometry

Properties
**Total magnetic moment**: 13.1 μB per cell
**Formation enthalpy at 0 K**: 0.63 eV per atom
**Volume**: 234.20 Å³ per cell
**Density of states at the Fermi level**: 0.564 states/eV/atom

Lattice parameters (Å, degrees): 3.4655 3.4655 19.5011 90.00 90.00 90.00
Last column: nearest neighbours and their distance in Å.
Space group I-42d (No. 122)
Asymmetric unit:
Na 0.0000 0.0000 0.0000 [4 per cell]  4 Li 2.45, 4 Co 2.74
Li 0.0000 0.0000 0.5000 [4 per cell]  4 Na 2.45, 4 Co 2.71
Co 0.2357 0.7500 0.6250 [8 per cell]  4 Co 2.38-2.52